No. 1
Below is a relaxed structure of PrSCl, with properties calculated at the GGA-PBEsol level.

theoretical density = 4.3 Mg/m³
Fermi-level density of states = 0.0 states/eV per cell
total magnetization = 0.00 μB per formula unit
crystal system = orthorhombic
energy relative to the elements, uncorrected = -2144 meV/atom

Structure (CIF):
```
data_PrSCl
_chemical_formula_sum 'Pr24 S24 Cl24'
_cell_length_a 6.797
_cell_length_b 6.876
_cell_length_c 41.027
_cell_angle_alpha 90.00
_cell_angle_beta 90.00
_cell_angle_gamma 90.00
_space_group_name_H-M_alt 'P b c m'
_space_group_IT_number 57
loop_
_space_group_symop_operation_xyz
'x,y,z'
'-x,-y,-z'
'-x,-y,z+1/2'
'x,y,-z+1/2'
'x,-y+1/2,-z'
'-x,y+1/2,z'
'-x,y+1/2,-z+1/2'
'x,-y+1/2,z+1/2'
loop_
_atom_site_label
_atom_site_fract_x
_atom_site_fract_y
_atom_site_fract_z
_atom_site_occupancy
Pr1 0.196 0.202 0.250 1
Pr2 0.198 0.195 0.084 1
Pr3 0.202 0.734 0.667 1
Pr4 0.215 0.750 0.000 1
S1 0.033 0.038 0.542 1
S2 0.037 0.018 0.709 1
S3 0.043 0.016 0.627 1
Cl1 0.451 0.622 0.615 1
Cl2 0.462 0.057 0.201 1
Cl3 0.462 0.076 0.036 1
```

***

No. 2
Below is a relaxed structure of Pr7S6Cl9, with properties calculated at the GGA-PBEsol level.

theoretical density = 4.5 Mg/m³
Fermi-level density of states = 0.0 states/eV per cell
total magnetization = 0.00 μB per formula unit
crystal system = monoclinic
energy relative to the elements, uncorrected = -2189 meV/atom

Structure (CIF):
```
data_Pr7S6Cl9
_chemical_formula_sum 'Pr14 S12 Cl18'
_cell_length_a 24.263
_cell_length_b 6.691
_cell_length_c 6.935
_cell_angle_alpha 90.00
_cell_angle_beta 97.81
_cell_angle_gamma 90.00
_space_group_name_H-M_alt 'P 1 2/c 1'
_space_group_IT_number 13
loop_
_space_group_symop_operation_xyz
'x,y,z'
'-x,-y,-z'
'-x,y,-z+1/2'
'x,-y,z+1/2'
loop_
_atom_site_label
_atom_site_fract_x
_atom_site_fract_y
_atom_site_fract_z
_atom_site_occupancy
Pr1 0.000 0.214 0.250 1
Pr2 0.144 0.197 0.878 1
Pr3 0.286 0.196 0.364 1
Pr4 0.424 0.221 0.009 1
S1 0.072 0.036 0.574 1
S2 0.217 0.053 0.619 1
S3 0.361 0.052 0.689 1
Cl1 0.060 0.457 0.948 1
Cl2 0.191 0.435 0.229 1
Cl3 0.323 0.420 0.038 1
Cl4 0.446 0.380 0.392 1
Cl5 0.500 0.054 0.750 1
```

***

No. 3
Below is a relaxed structure of PtCl, with properties calculated at the GGA-PBEsol level.

theoretical density = 9.6 Mg/m³
total magnetization = 0.00 μB per formula unit
crystal system = trigonal
energy relative to the elements, uncorrected = -287 meV/atom

Structure (CIF):
```
data_PtCl
_chemical_formula_sum 'Pt6 Cl6'
_cell_length_a 3.5761
_cell_length_b 3.5761
_cell_length_c 21.5591
_cell_angle_alpha 90.00
_cell_angle_beta 90.00
_cell_angle_gamma 120.00
_space_group_name_H-M_alt 'R -3 m'
_space_group_IT_number 166
_space_group_name_Hall '-R 3 2"'
loop_
_atom_site_label
_atom_site_fract_x
_atom_site_fract_y
_atom_site_fract_z
_atom_site_occupancy
Pt1 0.0000 0.0000 0.2010 1
Cl1 0.0000 0.0000 0.4049 1
```

***

No. 4
Below is a relaxed structure of PtCl, with properties calculated at the GGA-PBEsol level.

theoretical density = 8.4 Mg/m³
Fermi-level density of states = 12.2 states/eV per cell
total magnetization = 0.00 μB per formula unit
crystal system = orthorhombic
energy relative to the elements, uncorrected = 344 meV/atom

Structure (CIF):
```
data_PtCl
_chemical_formula_sum 'Pt4 Cl4'
_cell_length_a 2.791
_cell_length_b 7.059
_cell_length_c 9.219
_cell_angle_alpha 90.00
_cell_angle_beta 90.00
_cell_angle_gamma 90.00
_space_group_name_H-M_alt 'I m m a'
_space_group_IT_number 74
_space_group_name_Hall '-I 2b 2'
loop_
_atom_site_label
_atom_site_fract_x
_atom_site_fract_y
_atom_site_fract_z
_atom_site_occupancy
Pt1 0.000 0.250 0.134 1
Cl1 0.000 0.250 0.571 1
```

***

No. 5
Below is a relaxed structure of Pt3Cl, with properties calculated at the GGA-PBEsol level.

theoretical density = 16.6 Mg/m³
distance to the lowest polymorph of the same formula = 0.00 eV/f.u.
Fermi-level density of states = 9.5 states/eV per cell
total magnetization = 0.00 μB per formula unit
crystal system = orthorhombic
energy relative to the elements, uncorrected = 525 meV/atom

Structure (CIF):
```
data_Pt3Cl
_chemical_formula_sum 'Pt6 Cl2'
_cell_length_a 6.746
_cell_length_b 6.778
_cell_length_c 2.722
_cell_angle_alpha 90.00
_cell_angle_beta 90.00
_cell_angle_gamma 90.00
_space_group_name_H-M_alt 'C m m m'
_space_group_IT_number 65
_space_group_name_Hall '-C 2 2'
loop_
_atom_site_label
_atom_site_fract_x
_atom_site_fract_y
_atom_site_fract_z
_atom_site_occupancy
Pt1 0.000 0.000 0.000 1
Pt2 0.250 0.250 0.500 1
Cl1 0.000 0.500 0.000 1
```

***

No. 6
Below is a relaxed structure of PtCl2, with properties calculated at the GGA-PBEsol level.

theoretical density = 7.5 Mg/m³
Fermi-level density of states = 10.0 states/eV per cell
total magnetization = 0.66 μB per formula unit
crystal system = tetragonal
energy relative to the elements, uncorrected = 495 meV/atom

Structure (CIF):
```
data_PtCl2
_chemical_formula_sum 'Pt2 Cl4'
_cell_length_a 3.133
_cell_length_b 3.133
_cell_length_c 11.932
_cell_angle_alpha 90.00
_cell_angle_beta 90.00
_cell_angle_gamma 90.00
_space_group_name_H-M_alt 'I 4/m m m'
_space_group_IT_number 139
_space_group_name_Hall '-I 4 2'
loop_
_atom_site_label
_atom_site_fract_x
_atom_site_fract_y
_atom_site_fract_z
_atom_site_occupancy
Pt1 0.000 0.000 0.000 1
Cl1 0.000 0.000 0.373 1
```

***

No. 7
Below is a relaxed structure of PtCl, with properties calculated at the GGA-PBEsol level.

theoretical density = 11.9 Mg/m³
Fermi-level density of states = 5.7 states/eV per cell
total magnetization = 0.00 μB per formula unit
crystal system = trigonal
energy relative to the elements, uncorrected = 575 meV/atom

Structure (CIF):
```
data_PtCl
_chemical_formula_sum 'Pt3 Cl3'
_cell_length_a 3.1231
_cell_length_b 3.1231
_cell_length_c 11.4310
_cell_angle_alpha 90.00
_cell_angle_beta 90.00
_cell_angle_gamma 120.00
_space_group_name_H-M_alt 'R -3 m'
_space_group_IT_number 166
_space_group_name_Hall '-R 3 2"'
loop_
_atom_site_label
_atom_site_fract_x
_atom_site_fract_y
_atom_site_fract_z
_atom_site_occupancy
Pt1 0.0000 0.0000 0.0000 1
Cl1 0.0000 0.0000 0.5000 1
```

***

No. 8
Below is a relaxed structure of PtCl2, with properties calculated at the GGA-PBEsol level.

theoretical density = 5.3 Mg/m³
total magnetization = 0.00 μB per formula unit
crystal system = orthorhombic
energy relative to the elements, uncorrected = -279 meV/atom

Structure (CIF):
```
data_PtCl2
_chemical_formula_sum 'Pt2 Cl4'
_cell_length_a 6.497
_cell_length_b 7.560
_cell_length_c 3.405
_cell_angle_alpha 90.00
_cell_angle_beta 90.00
_cell_angle_gamma 90.00
_space_group_name_H-M_alt 'P n n m'
_space_group_IT_number 58
loop_
_space_group_symop_operation_xyz
'x,y,z'
'-x,-y,-z'
'-x,-y,z'
'x,y,-z'
'x+1/2,-y+1/2,-z+1/2'
'-x+1/2,y+1/2,z+1/2'
'-x+1/2,y+1/2,-z+1/2'
'x+1/2,-y+1/2,z+1/2'
loop_
_atom_site_label
_atom_site_fract_x
_atom_site_fract_y
_atom_site_fract_z
_atom_site_occupancy
Pt1 0.000 0.000 0.000 1
Cl1 0.168 0.143 0.500 1
```

***

No. 9
Below is a relaxed structure of Pt2Cl, with properties calculated at the GGA-PBEsol level.

theoretical density = 14.5 Mg/m³
distance to the lowest polymorph of the same formula = 0.00 eV/f.u.
Fermi-level density of states = 18.7 states/eV per cell
total magnetization = 0.00 μB per formula unit
crystal system = tetragonal
energy relative to the elements, uncorrected = 646 meV/atom

Structure (CIF):
```
data_Pt2Cl
_chemical_formula_sum 'Pt8 Cl4'
_cell_length_a 2.796
_cell_length_b 2.796
_cell_length_c 24.933
_cell_angle_alpha 90.00
_cell_angle_beta 90.00
_cell_angle_gamma 90.00
_space_group_name_H-M_alt 'I 41/a m d'
_space_group_IT_number 141
loop_
_space_group_symop_operation_xyz
'x,y,z'
'-x,-y,-z'
'-y+1/4,x+3/4,z+1/4'
'y+1/4,-x+3/4,-z+1/4'
'-x+1/2,-y,z+1/2'
'x+1/2,y,-z+1/2'
'y+1/4,-x+1/4,z+3/4'
'-y+1/4,x+1/4,-z+3/4'
'x,-y,-z'
'-x,y,z'
'-y+1/4,-x+1/4,-z+3/4'
'y+1/4,x+1/4,z+3/4'
'-x+1/2,y,-z+1/2'
'x+1/2,-y,z+1/2'
'y+1/4,x+3/4,-z+1/4'
'-y+1/4,-x+3/4,z+1/4'
'x+1/2,y+1/2,z+1/2'
'-x+1/2,-y+1/2,-z+1/2'
'-y+3/4,x+1/4,z+3/4'
'y+3/4,-x+1/4,-z+3/4'
'-x,-y+1/2,z'
'x,y+1/2,-z'
'y+3/4,-x+3/4,z+1/4'
'-y+3/4,x+3/4,-z+1/4'
'x+1/2,-y+1/2,-z+1/2'
'-x+1/2,y+1/2,z+1/2'
'-y+3/4,-x+3/4,-z+1/4'
'y+3/4,x+3/4,z+1/4'
'-x,y+1/2,-z'
'x,-y+1/2,z'
'y+3/4,x+1/4,-z+3/4'
'-y+3/4,-x+1/4,z+3/4'
loop_
_atom_site_label
_atom_site_fract_x
_atom_site_fract_y
_atom_site_fract_z
_atom_site_occupancy
Pt1 0.000 0.250 0.294 1
Cl1 0.000 0.250 0.875 1
```

***

No. 10
Below is a relaxed structure of PtCl2, with properties calculated at the GGA-PBEsol level.

theoretical density = 6.4 Mg/m³
total magnetization = 0.00 μB per formula unit
crystal system = triclinic
energy relative to the elements, uncorrected = -359 meV/atom

Structure (CIF):
```
data_PtCl2
_chemical_formula_sum 'Pt4 Cl8'
_cell_length_a 6.629
_cell_length_b 6.900
_cell_length_c 7.100
_cell_angle_alpha 91.64
_cell_angle_beta 117.38
_cell_angle_gamma 103.83
_space_group_name_H-M_alt 'P -1'
_space_group_IT_number 2
loop_
_space_group_symop_operation_xyz
'x,y,z'
'-x,-y,-z'
loop_
_atom_site_label
_atom_site_fract_x
_atom_site_fract_y
_atom_site_fract_z
_atom_site_occupancy
Pt1 0.173 0.273 0.458 1
Pt2 0.252 0.502 0.000 1
Cl1 0.040 0.256 0.704 1
Cl2 0.208 0.756 0.796 1
Cl3 0.291 0.248 0.205 1
Cl4 0.463 0.750 0.298 1
```

***

We obtain E values of -0.2206; -0.2152; -0.1754; -0.1522; -0.1911; -0.1163; -0.1437; -0.1448; -0.1715; -0.1477 hartree per atom for the records listed above, in that order.